[1]
Density functional theory data (GGA-PBE) for Sb2AuBr after structural relaxation.

Unit cell a=4.9027 b=4.5322 c=4.5322 alpha=90.00 beta=90.00 gamma=90.00
Closest atoms and distances in Å follow each position.
Positions (direct):
1 Sb 0.0000 0.0000 0.0000  4 Sb 3.20, 4 Br 3.34, 4 Au 3.34
2 Sb 0.0000 0.5000 0.5000  4 Sb 3.20, 4 Au 3.34, 4 Br 3.34
3 Au 0.5000 0.5000 0.0000  4 Br 3.20, 8 Sb 3.34
4 Br 0.5000 0.0000 0.5000  4 Au 3.20, 8 Sb 3.34

The energy relative to the elements, uncorrected is 0.3453 eV/atom. The value obtained for the offset from the most stable computed form is 524.1 meV per atom. As for the space group: P4/mmm (123).

=====

[2]
Density functional theory data (GGA-PBE) for SbAu2Br after structural relaxation.

Unit cell a=3.8078 b=3.9134 c=7.3008 alpha=83.31 beta=90.00 gamma=90.00
Closest atoms and distances in Å follow each position.
Positions (direct):
1 Sb 0.5000 0.6868 0.8473  3 Au 2.71-2.73
2 Au 0.0000 0.0806 0.9895  2 Sb 2.73, 2 Au 2.78
3 Au 0.5000 0.3780 0.1999  2 Br 2.70, 1 Sb 2.71, 2 Au 2.78
4 Br 0.0000 0.3546 0.4633  2 Au 2.70

The energy relative to the elements, uncorrected is -0.0476 eV/atom. The value obtained for the offset from the most stable computed form is 10.3 meV per atom. As for the space group: Pm (6).

=====

[3]
Density functional theory data (GGA-PBE) for SbAu2Br after structural relaxation.

Unit cell a=6.3802 b=6.3802 c=6.3802 alpha=146.11 beta=125.74 gamma=65.53
Closest atoms and distances in Å follow each position.
Positions (direct):
1 Sb 0.1490 0.6490 0.5000  2 Au 2.66, 2 Br 2.98
2 Au 0.9711 0.9711 0.0000  2 Sb 2.66, 2 Au 2.68
3 Au 0.7911 0.2911 0.5000  2 Au 2.68, 2 Br 2.86
4 Br 0.5888 0.5888 0.0000  2 Au 2.86, 2 Sb 2.98

The energy relative to the elements, uncorrected is 0.1157 eV/atom. The value obtained for the offset from the most stable computed form is 173.6 meV per atom. As for the space group: Imm2 (44).

=====

[4]
Density functional theory data (GGA-PBE) for Sb2AuBr after structural relaxation.

Unit cell a=4.4505 b=4.4505 c=7.3262 alpha=72.32 beta=72.32 gamma=60.00
Closest atoms and distances in Å follow each position.
Positions (direct):
1 Sb 0.0549 0.0549 0.8353  3 Au 2.80
2 Sb 0.2776 0.2776 0.1671  3 Au 2.82
3 Au 0.6673 0.6673 0.9982  6 Sb 2.80-2.82
4 Br 0.5002 0.5002 0.4994  6 Sb 3.44-3.45, 1 Au 3.44

The energy relative to the elements, uncorrected is -0.1437 eV/atom. The value obtained for the offset from the most stable computed form is 35.1 meV per atom. As for the space group: R3m (160).

=====

[5]
Density functional theory data (GGA-PBE) for SbAuBr2 after structural relaxation.

Unit cell a=3.4298 b=4.1971 c=6.9084 alpha=90.00 beta=90.00 gamma=90.00
Closest atoms and distances in Å follow each position.
Positions (direct):
1 Sb 0.5000 0.5000 0.2500  8 Br 3.22, 2 Sb 3.43, 2 Au 3.45
2 Au 0.5000 0.5000 0.7500  8 Br 3.21, 2 Au 3.43, 2 Sb 3.45
3 Br 0.0000 0.0000 0.9994  4 Au 3.21, 4 Sb 3.22, 4 Br 3.43-3.46
4 Br 0.0000 0.0000 0.5006  4 Au 3.21, 4 Sb 3.22, 4 Br 3.43-3.46

The energy relative to the elements, uncorrected is 0.3577 eV/atom. The value obtained for the offset from the most stable computed form is 670.1 meV per atom. As for the space group: Pmmm (47).

=====

[6]
Density functional theory data (GGA-PBE) for Sb2AuBr after structural relaxation.

Unit cell a=4.9933 b=7.1608 c=13.1602 alpha=89.99 beta=90.00 gamma=90.00
Closest atoms and distances in Å follow each position.
Positions (direct):
1 Sb 0.8071 0.9121 0.9349  2 Au 2.81-2.88, 2 Sb 2.87-3.02
2 Sb 0.1929 0.0879 0.0651  2 Au 2.81-2.88, 2 Sb 2.87-3.02
3 Sb 0.3071 0.5879 0.5651  2 Au 2.81-2.88, 2 Sb 2.87-3.02
4 Sb 0.6929 0.4121 0.4349  2 Au 2.81-2.88, 2 Sb 2.87-3.02
5 Sb 0.8072 0.4120 0.0651  2 Au 2.81-2.88, 2 Sb 2.87-3.02
6 Sb 0.1928 0.5880 0.9349  2 Au 2.81-2.88, 2 Sb 2.87-3.02
7 Sb 0.3072 0.0880 0.4349  2 Au 2.81-2.88, 2 Sb 2.87-3.02
8 Sb 0.6928 0.9120 0.5651  2 Au 2.81-2.88, 2 Sb 2.87-3.02
9 Au 0.0000 0.2500 0.5904  4 Sb 2.81-2.88, 2 Br 2.82
10 Au 0.0000 0.7500 0.4096  4 Sb 2.81-2.88, 2 Br 2.82
11 Au 0.5000 0.2500 0.9096  4 Sb 2.81-2.88, 2 Br 2.82
12 Au 0.5000 0.7500 0.0904  4 Sb 2.81-2.88, 2 Br 2.82
13 Br 0.2497 0.5533 0.2499  2 Au 2.82
14 Br 0.7503 0.4467 0.7501  2 Au 2.82
15 Br 0.7497 0.9467 0.2501  2 Au 2.82
16 Br 0.2503 0.0533 0.7499  2 Au 2.82

The energy relative to the elements, uncorrected is -0.0817 eV/atom. The value obtained for the offset from the most stable computed form is 97.2 meV per atom. As for the space group: Pnna (52).

=====

M_tot across the listed records, respectively: 0.0; 0.0; 0.0; 0.0; 0.0; 0.0 μB/f.u..